Compound: Hg6S4IBr2Cl
Source: OQMD
Functional: PBE
Structure: optimized geometry

Lattice parameters (Å, degrees): 13.2846 9.6133 13.2085 90.00 90.00 90.00
Space group Pnma (No. 62)
Asymmetric unit:
Hg1 0.0246 0.2500 0.1996 (multiplicity 4)
Hg2 0.1185 0.0136 0.6529 (multiplicity 8)
Hg3 0.1544 0.5093 0.3789 (multiplicity 8)
Hg4 0.1907 0.7500 0.0263 (multiplicity 4)
S1 0.0318 0.5007 0.2400 (multiplicity 8)
S2 0.2422 0.5008 0.0321 (multiplicity 8)
I1 0.0074 0.7500 0.4937 (multiplicity 4)
Br1 0.2174 0.7500 0.7804 (multiplicity 4)
Br2 0.2306 0.2500 0.7706 (multiplicity 4)
Cl1 0.0048 0.2500 0.9981 (multiplicity 4)

Computed properties:
- raw total energy (eV/atom) = -2.0804